Entry 1:
Material: ZrBOs2
Method: DFT, PBE
State: optimized geometry

final energy	-35.947	eV per formula unit
formation enthalpy at 0 K	0.435	eV per atom

Cell: 7.7661 7.7661 7.7661 Å, 146.15 146.15 48.63°
Sites, in units of the cell vectors:
Zr1 0.0000 0.0000 0.0000
Zr2 0.7500 0.2500 0.5000
B1 0.2500 0.7500 0.5000
B2 0.5000 0.5000 0.0000
Os1 0.2777 0.6250 0.1527
Os2 0.3750 0.5277 0.6527
Os3 0.4723 0.1250 0.8473
Os4 0.8750 0.7223 0.3473

---

Entry 2:
Material: Mg2ScCd
Method: DFT, PBE
State: optimized geometry

final energy	-10.500	eV per formula unit
formation enthalpy at 0 K	-0.016	eV per atom

Cell: 10.2737 10.2737 10.2737 Å, 18.26 18.26 18.26°
Sites, in units of the cell vectors:
Mg1 0.0000 0.0000 0.0000
Mg2 0.2480 0.2480 0.2480
Sc1 0.4956 0.4956 0.4956
Cd1 0.7476 0.7476 0.7476

---

Entry 3:
Material: As5Pt
Method: DFT, PBE
State: optimized geometry

final energy	-28.436	eV per formula unit
formation enthalpy at 0 K	0.142	eV per atom
ΔE to the lowest computed polymorph	131	meV per atom

Cell: 6.3898 6.3898 3.3808 Å, 90.00 90.00 120.00°
Sites, in units of the cell vectors:
As1 0.0000 0.6842 0.0000
As2 0.3158 0.3158 0.0000
As3 0.3333 0.6667 0.5000
As4 0.6667 0.3333 0.5000
As5 0.6842 0.0000 0.0000
Pt1 0.0000 0.0000 0.5000